# 1
Density functional theory data (PBEsol) for a relaxed LaFe2Br crystal.

**Total magnetization**: 0.9993 μB per atom
**ΔE_f (raw)**: 0.20 eV/atom
**Calculated total energy**: -24.34 eV per formula unit
**DOS at the Fermi energy**: 3.70 states/eV per cell

The structure in POSCAR format:
```
LaFe2Br
1.0
-1.930 2.768 3.676
1.930 -2.768 3.676
1.930 2.768 -3.676
La Fe Br
1 2 1
Direct
0.000 0.000 0.000 La
0.305 0.805 0.500 Fe
0.474 0.474 0.000 Fe
0.679 0.179 0.500 Br
```

***

# 2
Density functional theory data (PBEsol) for a relaxed Ni2TePb crystal.

**Total magnetization**: 0.0001 μB per atom
**ΔE_f (raw)**: 0.31 eV/atom
**Calculated total energy**: -18.59 eV per formula unit
**DOS at the Fermi energy**: 2.64 states/eV per cell

The structure in POSCAR format:
```
Ni2TePb
1.0
-1.881 1.881 5.079
1.881 -1.881 5.079
1.881 1.881 -5.079
Ni Te Pb
2 1 1
Direct
0.000 0.000 0.000 Ni
0.750 0.250 0.500 Ni
0.250 0.750 0.500 Te
0.500 0.500 0.000 Pb
```

***

# 3
Density functional theory data (PBEsol) for a relaxed La2CuNi2 crystal.

**Total magnetization**: 0.0000 μB per atom
**Energy of formation**: -202 meV per atom
**Calculated total energy**: -28.35 eV per formula unit
**DOS at the Fermi energy**: 8.22 states/eV per cell

The structure in POSCAR format:
```
La2CuNi2
1.0
7.112 0.000 0.000
0.000 7.112 0.000
0.000 0.000 3.855
La Cu Ni
4 2 4
Direct
0.180 0.320 0.000 La
0.320 0.820 0.000 La
0.680 0.180 0.000 La
0.820 0.680 0.000 La
0.000 0.000 0.500 Cu
0.500 0.500 0.500 Cu
0.123 0.623 0.500 Ni
0.377 0.123 0.500 Ni
0.623 0.877 0.500 Ni
0.877 0.377 0.500 Ni
```

***

# 4
Density functional theory data (PBEsol) for a relaxed La2SiIr crystal.

**Total magnetization**: 0.0000 μB per atom
**ΔE_f (raw)**: -0.49 eV/atom
**Calculated total energy**: -28.22 eV per formula unit
**DOS at the Fermi energy**: 2.52 states/eV per cell

The structure in POSCAR format:
```
La2SiIr
1.0
3.553 0.000 0.000
0.000 3.909 0.000
0.000 0.000 6.556
La Si Ir
2 1 1
Direct
0.000 0.000 0.246 La
0.000 0.000 0.754 La
0.500 0.500 0.500 Si
0.500 0.500 0.000 Ir
```

***

# 5
Density functional theory data (PBEsol) for a relaxed K2Ni2S3O12 crystal.

**Total magnetization**: 0.2106 μB per atom
**ΔE_f (raw)**: -1.42 eV/atom
**Calculated total energy**: -117.67 eV per formula unit

The structure in POSCAR format:
```
K2Ni2S3O12
1.0
9.781 0.000 0.000
0.000 9.781 0.000
0.000 0.000 9.781
K Ni S O
8 8 12 48
Direct
0.050 0.050 0.050 K
0.186 0.314 0.686 K
0.314 0.686 0.186 K
0.450 0.950 0.550 K
0.550 0.450 0.950 K
0.686 0.186 0.314 K
0.814 0.814 0.814 K
0.950 0.550 0.450 K
0.094 0.906 0.406 Ni
0.163 0.663 0.837 Ni
0.337 0.337 0.337 Ni
0.406 0.094 0.906 Ni
0.594 0.594 0.594 Ni
0.663 0.837 0.163 Ni
0.837 0.163 0.663 Ni
0.906 0.406 0.094 Ni
0.023 0.217 0.378 S
0.122 0.977 0.717 S
0.217 0.378 0.023 S
0.283 0.622 0.523 S
0.378 0.023 0.217 S
0.477 0.783 0.878 S
0.523 0.283 0.622 S
0.622 0.523 0.283 S
0.717 0.122 0.977 S
0.783 0.878 0.477 S
0.878 0.477 0.783 S
0.977 0.717 0.122 S
0.000 0.074 0.330 O
0.000 0.574 0.170 O
0.009 0.551 0.756 O
0.035 0.811 0.224 O
0.051 0.744 0.991 O
0.074 0.330 0.000 O
0.095 0.830 0.740 O
0.170 0.000 0.574 O
0.170 0.240 0.405 O
0.189 0.724 0.465 O
0.224 0.035 0.811 O
0.240 0.405 0.170 O
0.244 0.509 0.949 O
0.256 0.491 0.449 O
0.260 0.595 0.670 O
0.276 0.965 0.311 O
0.311 0.276 0.965 O
0.330 0.000 0.074 O
0.330 0.760 0.905 O
0.405 0.170 0.240 O
0.426 0.670 0.500 O
0.449 0.256 0.491 O
0.465 0.189 0.724 O
0.491 0.449 0.256 O
0.500 0.426 0.670 O
0.500 0.926 0.830 O
0.509 0.949 0.244 O
0.535 0.689 0.776 O
0.551 0.756 0.009 O
0.574 0.170 0.000 O
0.595 0.670 0.260 O
0.670 0.260 0.595 O
0.670 0.500 0.426 O
0.689 0.776 0.535 O
0.724 0.465 0.189 O
0.740 0.095 0.830 O
0.744 0.991 0.051 O
0.756 0.009 0.551 O
0.760 0.905 0.330 O
0.776 0.535 0.689 O
0.811 0.224 0.035 O
0.830 0.500 0.926 O
0.830 0.740 0.095 O
0.905 0.330 0.760 O
0.926 0.830 0.500 O
0.949 0.244 0.509 O
0.965 0.311 0.276 O
0.991 0.051 0.744 O
```

***

# 6
Density functional theory data (PBEsol) for a relaxed MnNi2Cl crystal.

**Total magnetization**: 1.0197 μB per atom
**ΔE_f (raw)**: 0.22 eV/atom
**Calculated total energy**: -23.21 eV per formula unit
**DOS at the Fermi energy**: 3.88 states/eV per cell

The structure in POSCAR format:
```
MnNi2Cl
1.0
2.978 0.000 0.000
0.000 2.978 0.000
0.000 0.000 5.725
Mn Ni Cl
1 2 1
Direct
0.000 0.000 0.000 Mn
0.500 0.500 0.219 Ni
0.500 0.500 0.781 Ni
0.000 0.000 0.500 Cl
```

***

# 7
Density functional theory data (PBEsol) for a relaxed CaZr4Tc crystal.

**Total magnetization**: 0.0001 μB per atom
**Energy of formation**: 635 meV per atom
**Calculated total energy**: -45.95 eV per formula unit
**DOS at the Fermi energy**: 9.99 states/eV per cell

The structure in POSCAR format:
```
CaZr4Tc
1.0
0.000 4.027 4.027
4.027 0.000 4.027
4.027 4.027 0.000
Ca Zr Tc
1 4 1
Direct
0.000 0.000 0.000 Ca
0.377 0.377 0.377 Zr
0.377 0.377 0.869 Zr
0.377 0.869 0.377 Zr
0.869 0.377 0.377 Zr
0.750 0.750 0.750 Tc
```

***

# 8
Density functional theory data (PBEsol) for a relaxed PtRhI2O crystal.

**Total magnetization**: 0.1241 μB per atom
**ΔE_f (raw)**: 0.54 eV/atom
**Calculated total energy**: -21.19 eV per formula unit
**DOS at the Fermi energy**: 5.74 states/eV per cell

The structure in POSCAR format:
```
PtRhI2O
1.0
5.425 0.000 0.000
0.000 5.425 0.000
0.000 0.000 3.689
Pt Rh I O
1 1 2 1
Direct
0.000 0.000 0.000 Pt
0.500 0.500 0.500 Rh
0.000 0.500 0.000 I
0.500 0.000 0.000 I
0.000 0.000 0.500 O
```

***

# 9
Density functional theory data (PBEsol) for a relaxed Sr2YIn crystal.

**Total magnetization**: 0.0000 μB per atom
**Energy of formation**: -65 meV per atom
**Calculated total energy**: -13.75 eV per formula unit
**DOS at the Fermi energy**: 3.05 states/eV per cell

The structure in POSCAR format:
```
Sr2YIn
1.0
-2.668 2.668 4.665
2.668 -2.668 4.665
2.668 2.668 -4.665
Sr Y In
2 1 1
Direct
0.000 0.000 0.000 Sr
0.750 0.250 0.500 Sr
0.500 0.500 0.000 Y
0.250 0.750 0.500 In
```

***

# 10
Density functional theory data (PBEsol) for a relaxed Li3MgAg crystal.

**Total magnetization**: 0.0000 μB per atom
**Energy of formation**: 149 meV per atom
**Calculated total energy**: -10.18 eV per formula unit
**DOS at the Fermi energy**: 1.80 states/eV per cell

The structure in POSCAR format:
```
Li3MgAg
1.0
4.812 0.000 0.000
0.000 4.812 0.000
0.000 0.000 4.812
Li Mg Ag
3 1 1
Direct
0.000 0.000 0.500 Li
0.000 0.500 0.000 Li
0.500 0.000 0.000 Li
0.500 0.500 0.500 Mg
0.000 0.000 0.000 Ag
```

***

# 11
Density functional theory data (PBEsol) for a relaxed LiTc2Os crystal.

**Total magnetization**: 0.0001 μB per atom
**Energy of formation**: 342 meV per atom
**Calculated total energy**: -35.35 eV per formula unit
**DOS at the Fermi energy**: 3.63 states/eV per cell

The structure in POSCAR format:
```
LiTc2Os
1.0
-1.841 1.841 3.900
1.841 -1.841 3.900
1.841 1.841 -3.900
Li Tc Os
1 2 1
Direct
0.000 0.000 0.000 Li
0.250 0.750 0.500 Tc
0.750 0.250 0.500 Tc
0.500 0.500 0.000 Os
```

***

# 12
Density functional theory data (PBEsol) for a relaxed AgRuI3 crystal.

**Total magnetization**: 0.2506 μB per atom
**ΔE_f (raw)**: 0.54 eV/atom
**Calculated total energy**: -16.11 eV per formula unit
**DOS at the Fermi energy**: 5.58 states/eV per cell

The structure in POSCAR format:
```
AgRuI3
1.0
5.303 0.000 0.000
0.000 5.303 0.000
0.000 0.000 5.303
Ag Ru I
1 1 3
Direct
0.000 0.000 0.000 Ag
0.500 0.500 0.500 Ru
0.000 0.500 0.500 I
0.500 0.000 0.500 I
0.500 0.500 0.000 I
```